Computed, not measured: a geometry-optimized PmMgSb structure at the PBE-GGA level of DFT.

Results
energy	-0.136	Ha/atom
volume	97.7	Å³/cell
energy relative to the lowest polymorph listed for this composition	101	meV/atom

POSCAR file:
```
PmMgSb
1.0
0.000 3.656 3.656
3.656 0.000 3.656
3.656 3.656 0.000
Pm Mg Sb
1 1 1
direct
0.000 0.000 0.000
0.750 0.750 0.750
0.250 0.250 0.250
```

Computed, not measured: a geometry-optimized PmMgSc structure at the PBE-GGA level of DFT.

Results
energy	-0.138	Ha/atom
volume	93.3	Å³/cell
energy relative to the lowest polymorph listed for this composition	0	meV/atom

POSCAR file:
```
PmMgSc
1.0
0.000 3.600 3.600
3.600 0.000 3.600
3.600 3.600 0.000
Pm Mg Sc
1 1 1
direct
0.000 0.000 0.000
0.250 0.250 0.250
0.500 0.500 0.500
```

Computed, not measured: a geometry-optimized Pm3MgSc2 structure at the PBE-GGA level of DFT.

Results
energy	-0.165	Ha/atom
volume	178.9	Å³/cell

POSCAR file:
```
Pm3MgSc2
1.0
4.649 0.000 0.000
0.000 4.649 0.000
0.000 0.000 8.277
Pm Mg Sc
3 1 2
direct
0.000 0.000 0.000
0.000 0.500 0.665
0.500 0.000 0.335
0.500 0.500 0.000
0.000 0.500 0.268
0.500 0.000 0.732
```

Computed, not measured: a geometry-optimized PmMgSc structure at the PBE-GGA level of DFT.

Results
energy	-0.127	Ha/atom
volume	95.0	Å³/cell
energy relative to the lowest polymorph listed for this composition	296	meV/atom

POSCAR file:
```
PmMgSc
1.0
0.000 3.622 3.622
3.622 0.000 3.622
3.622 3.622 0.000
Pm Mg Sc
1 1 1
direct
0.000 0.000 0.000
0.750 0.750 0.750
0.250 0.250 0.250
```